Entry a
The following is a SCAN calculation of a PBEsol-optimized structure of LaMnMo2, from Alexandria.

abc: 9.107 3.146 5.709
angles: 90.00 109.69 90.00
Space group Cm (No. 8)
Inequivalent atoms, fractional coordinates:
La1 0.000 0.000 0.000
Mn1 0.244 0.000 0.641
Mo1 0.032 0.500 0.534
Mo2 0.298 0.500 0.365

Calculated values
Spin magnetization (μB per cell): 0.00
Crystal system: monoclinic

=====

Entry b
The following is a SCAN calculation of a PBEsol-optimized structure of LaMnMo2, from Alexandria.

abc: 3.178 4.421 4.899
angles: 90.00 90.00 90.00
Space group Pmmm (No. 47)
Inequivalent atoms, fractional coordinates:
La1 0.000 0.000 0.000
Mn1 0.500 0.500 0.000
Mo1 0.000 0.500 0.500
Mo2 0.500 0.000 0.500

Calculated values
Spin magnetization (μB per cell): 2.79
Crystal system: orthorhombic

=====

Stability, descending: entry a, entry b

=====

Entry a
The following is a SCAN calculation of a PBEsol-optimized structure of Mg3Au, from Alexandria.

abc: 3.1943 3.1943 9.2368
angles: 90.00 90.00 120.00
Space group P-6m2 (No. 187)
Inequivalent atoms, fractional coordinates:
Mg1 0.0000 0.0000 0.0000
Mg2 0.6667 0.3333 0.2776
Au1 0.0000 0.0000 0.5000

Calculated values
Spin magnetization (μB per cell): 0.00
Crystal system: hexagonal

=====

Entry b
The following is a SCAN calculation of a PBEsol-optimized structure of Mg3Au, from Alexandria.

abc: 6.0097 6.0097 4.7973
angles: 90.00 90.00 120.00
Space group P6_3/mmc (No. 194)
Inequivalent atoms, fractional coordinates:
Mg1 0.1722 0.3443 0.2500
Au1 0.3333 0.6667 0.7500

Calculated values
Spin magnetization (μB per cell): 0.00
Crystal system: hexagonal

=====

Stability, descending: entry b, entry a

=====

Entry a
The following is a SCAN calculation of a PBEsol-optimized structure of Sr2Li2Ca, from Alexandria.

abc: 3.995 3.995 23.619
angles: 90.00 90.00 90.00
Space group I4/mmm (No. 139)
Inequivalent atoms, fractional coordinates:
Sr1 0.000 0.000 0.124
Li1 0.000 0.500 0.250
Ca1 0.000 0.000 0.500

Calculated values
Spin magnetization (μB per cell): 0.18
Crystal system: tetragonal

=====

Entry b
The following is a SCAN calculation of a PBEsol-optimized structure of Sr2Li2Ca, from Alexandria.

abc: 9.183 9.183 4.481
angles: 90.00 90.00 90.00
Space group P4/mbm (No. 127)
Inequivalent atoms, fractional coordinates:
Sr1 0.174 0.326 0.000
Li1 0.120 0.620 0.500
Ca1 0.000 0.000 0.500

Calculated values
Spin magnetization (μB per cell): 0.12
Crystal system: tetragonal

=====

Stability, descending: entry b, entry a

=====

Entry a
The following is a SCAN calculation of a PBEsol-optimized structure of SrOsAu2, from Alexandria.

abc: 3.500 3.500 6.652
angles: 90.00 90.00 90.00
Space group P4mm (No. 99)
Inequivalent atoms, fractional coordinates:
Sr1 0.000 0.000 0.000
Os1 0.500 0.500 0.683
Au1 0.000 0.000 0.534
Au2 0.500 0.500 0.282

Calculated values
Spin magnetization (μB per cell): 0.00
Crystal system: tetragonal

=====

Entry b
The following is a SCAN calculation of a PBEsol-optimized structure of SrOsAu2, from Alexandria.

abc: 6.795 6.886 3.207
angles: 90.00 90.00 90.00
Space group Cmmm (No. 65)
Inequivalent atoms, fractional coordinates:
Sr1 0.000 0.000 0.000
Os1 0.000 0.500 0.000
Au1 0.250 0.250 0.500

Calculated values
Spin magnetization (μB per cell): 0.00
Crystal system: orthorhombic

=====

Stability, descending: entry b, entry a